1.
# AgPdF2

A geometry-optimized AgPdF2 structure (PBE-GGA, Alexandria).

```
data_AgPdF2
_cell_length_a 5.376
_cell_length_b 5.376
_cell_length_c 5.376
_cell_angle_alpha 106.98
_cell_angle_beta 106.98
_cell_angle_gamma 114.58
_symmetry_space_group_name_H-M 'P 1'
_symmetry_Int_Tables_number 1
_symmetry_space_group_name_Hall 'P 1'
loop_
_atom_site_label
_atom_site_fract_x
_atom_site_fract_y
_atom_site_fract_z
_atom_site_occupancy
Ag1 0.000 0.000 0.000 1
Ag2 0.750 0.250 0.500 1
Pd1 0.250 0.750 0.500 1
Pd2 0.500 0.500 0.000 1
F1 0.150 0.625 0.025 1
F2 0.375 0.400 0.525 1
F3 0.600 0.125 0.975 1
F4 0.875 0.850 0.475 1
```

energy above the lowest structure with this stoichiometry = 181 meV/atom
energy = -3.600 eV per atom
space group = I-42d (122)

=====

2.
# Ag3PdF7

A geometry-optimized Ag3PdF7 structure (PBE-GGA, Alexandria).

```
data_Ag3PdF7
_cell_length_a 5.601
_cell_length_b 5.601
_cell_length_c 6.339
_cell_angle_alpha 111.99
_cell_angle_beta 111.99
_cell_angle_gamma 88.19
_symmetry_space_group_name_H-M 'P 1'
_symmetry_Int_Tables_number 1
_symmetry_space_group_name_Hall 'P 1'
loop_
_atom_site_label
_atom_site_fract_x
_atom_site_fract_y
_atom_site_fract_z
_atom_site_occupancy
Ag1 0.000 0.000 0.000 1
Ag2 0.263 0.745 0.494 1
Ag3 0.745 0.263 0.494 1
Pd1 0.501 0.501 0.003 1
F1 0.164 0.533 0.763 1
F2 0.351 0.351 0.178 1
F3 0.459 0.842 0.238 1
F4 0.533 0.164 0.763 1
F5 0.671 0.671 0.860 1
F6 0.842 0.459 0.238 1
F7 0.993 0.993 0.636 1
```

energy = -3.611 eV per atom
space group = Cm (8)

=====

3.
# Ag2PdF4

A geometry-optimized Ag2PdF4 structure (PBE-GGA, Alexandria).

```
data_Ag2PdF4
_cell_length_a 5.282
_cell_length_b 5.282
_cell_length_c 5.282
_cell_angle_alpha 110.58
_cell_angle_beta 110.58
_cell_angle_gamma 107.27
_symmetry_space_group_name_H-M 'P 1'
_symmetry_Int_Tables_number 1
_symmetry_space_group_name_Hall 'P 1'
loop_
_atom_site_label
_atom_site_fract_x
_atom_site_fract_y
_atom_site_fract_z
_atom_site_occupancy
Ag1 0.250 0.750 0.500 1
Ag2 0.750 0.250 0.500 1
Pd1 0.000 0.000 0.000 1
F1 0.235 0.235 0.470 1
F2 0.235 0.765 0.000 1
F3 0.765 0.235 0.000 1
F4 0.765 0.765 0.530 1
```

energy = -3.675 eV per atom
space group = I4/mmm (139)

=====

4.
# Ag2PdF

A geometry-optimized Ag2PdF structure (PBE-GGA, Alexandria).

```
data_Ag2PdF
_cell_length_a 2.876
_cell_length_b 2.876
_cell_length_c 7.391
_cell_angle_alpha 90.00
_cell_angle_beta 90.00
_cell_angle_gamma 90.00
_symmetry_space_group_name_H-M 'P 1'
_symmetry_Int_Tables_number 1
_symmetry_space_group_name_Hall 'P 1'
loop_
_atom_site_label
_atom_site_fract_x
_atom_site_fract_y
_atom_site_fract_z
_atom_site_occupancy
Ag1 0.000 0.000 0.226 1
Ag2 0.000 0.000 0.774 1
Pd1 0.500 0.500 0.500 1
F1 0.500 0.500 0.000 1
```

energy = -3.669 eV per atom
space group = P4/mmm (123)

=====

5.
# Ag4Pd2F9

A geometry-optimized Ag4Pd2F9 structure (PBE-GGA, Alexandria).

```
data_Ag4Pd2F9
_cell_length_a 5.883
_cell_length_b 5.931
_cell_length_c 15.826
_cell_angle_alpha 89.81
_cell_angle_beta 89.88
_cell_angle_gamma 60.83
_symmetry_space_group_name_H-M 'P 1'
_symmetry_Int_Tables_number 1
_symmetry_space_group_name_Hall 'P 1'
loop_
_atom_site_label
_atom_site_fract_x
_atom_site_fract_y
_atom_site_fract_z
_atom_site_occupancy
Ag1 0.157 0.163 0.315 1
Ag2 0.160 0.178 0.820 1
Ag3 0.166 0.162 0.015 1
Ag4 0.171 0.169 0.516 1
Ag5 0.829 0.831 0.484 1
Ag6 0.834 0.838 0.985 1
Ag7 0.840 0.822 0.180 1
Ag8 0.843 0.837 0.685 1
Pd1 0.494 0.510 0.845 1
Pd2 0.497 0.503 0.348 1
Pd3 0.503 0.497 0.652 1
Pd4 0.506 0.490 0.155 1
F1 0.184 0.489 0.911 1
F2 0.188 0.792 0.088 1
F3 0.189 0.839 0.418 1
F4 0.204 0.513 0.582 1
F5 0.218 0.513 0.266 1
F6 0.226 0.796 0.750 1
F7 0.467 0.227 0.417 1
F8 0.473 0.244 0.736 1
F9 0.480 0.831 0.913 1
F10 0.520 0.169 0.087 1
F11 0.527 0.756 0.264 1
F12 0.533 0.773 0.583 1
F13 0.774 0.204 0.250 1
F14 0.782 0.487 0.734 1
F15 0.796 0.487 0.418 1
F16 0.811 0.161 0.582 1
F17 0.812 0.208 0.912 1
F18 0.816 0.511 0.089 1
```

energy = -3.639 eV per atom
space group = P-1 (2)

=====

6.
# Ag2Pd2F5

A geometry-optimized Ag2Pd2F5 structure (PBE-GGA, Alexandria).

```
data_Ag2Pd2F5
_cell_length_a 4.250
_cell_length_b 5.462
_cell_length_c 6.857
_cell_angle_alpha 109.13
_cell_angle_beta 107.08
_cell_angle_gamma 90.51
_symmetry_space_group_name_H-M 'P 1'
_symmetry_Int_Tables_number 1
_symmetry_space_group_name_Hall 'P 1'
loop_
_atom_site_label
_atom_site_fract_x
_atom_site_fract_y
_atom_site_fract_z
_atom_site_occupancy
Ag1 0.128 0.422 0.248 1
Ag2 0.872 0.578 0.752 1
Pd1 0.409 0.100 0.817 1
Pd2 0.591 0.900 0.183 1
F1 0.091 0.882 0.183 1
F2 0.312 0.707 0.626 1
F3 0.500 0.500 0.000 1
F4 0.688 0.293 0.374 1
F5 0.909 0.118 0.817 1
```

energy = -3.750 eV per atom
space group = P-1 (2)

=====

7.
# Ag7PdF12

A geometry-optimized Ag7PdF12 structure (PBE-GGA, Alexandria).

```
data_Ag7PdF12
_cell_length_a 7.732
_cell_length_b 7.732
_cell_length_c 7.732
_cell_angle_alpha 111.79
_cell_angle_beta 111.79
_cell_angle_gamma 111.79
_symmetry_space_group_name_H-M 'P 1'
_symmetry_Int_Tables_number 1
_symmetry_space_group_name_Hall 'P 1'
loop_
_atom_site_label
_atom_site_fract_x
_atom_site_fract_y
_atom_site_fract_z
_atom_site_occupancy
Ag1 0.000 0.000 0.000 1
Ag2 0.168 0.608 0.747 1
Ag3 0.253 0.832 0.392 1
Ag4 0.392 0.253 0.832 1
Ag5 0.608 0.747 0.168 1
Ag6 0.747 0.168 0.608 1
Ag7 0.832 0.392 0.253 1
Pd1 0.500 0.500 0.500 1
F1 0.153 0.343 0.813 1
F2 0.187 0.847 0.657 1
F3 0.195 0.443 0.321 1
F4 0.321 0.195 0.443 1
F5 0.343 0.813 0.153 1
F6 0.443 0.321 0.195 1
F7 0.557 0.679 0.805 1
F8 0.657 0.187 0.847 1
F9 0.679 0.805 0.557 1
F10 0.805 0.557 0.679 1
F11 0.813 0.153 0.343 1
F12 0.847 0.657 0.187 1
```

energy = -3.459 eV per atom
space group = R-3 (148)

=====

8.
# Ag2Pd3F9

A geometry-optimized Ag2Pd3F9 structure (PBE-GGA, Alexandria).

```
data_Ag2Pd3F9
_cell_length_a 8.080
_cell_length_b 8.080
_cell_length_c 8.727
_cell_angle_alpha 97.18
_cell_angle_beta 97.18
_cell_angle_gamma 124.87
_symmetry_space_group_name_H-M 'P 1'
_symmetry_Int_Tables_number 1
_symmetry_space_group_name_Hall 'P 1'
loop_
_atom_site_label
_atom_site_fract_x
_atom_site_fract_y
_atom_site_fract_z
_atom_site_occupancy
Ag1 0.016 0.701 0.634 1
Ag2 0.299 0.984 0.366 1
Ag3 0.701 0.016 0.634 1
Ag4 0.984 0.299 0.366 1
Pd1 0.255 0.482 0.840 1
Pd2 0.270 0.270 0.113 1
Pd3 0.482 0.255 0.840 1
Pd4 0.518 0.745 0.160 1
Pd5 0.730 0.730 0.887 1
Pd6 0.745 0.518 0.160 1
F1 0.010 0.611 0.363 1
F2 0.051 0.270 0.941 1
F3 0.123 0.123 0.290 1
F4 0.263 0.263 0.703 1
F5 0.270 0.051 0.941 1
F6 0.288 0.712 0.000 1
F7 0.307 0.536 0.261 1
F8 0.389 0.990 0.637 1
F9 0.464 0.693 0.739 1
F10 0.536 0.307 0.261 1
F11 0.611 0.010 0.363 1
F12 0.693 0.464 0.739 1
F13 0.712 0.288 0.000 1
F14 0.730 0.949 0.059 1
F15 0.737 0.737 0.297 1
F16 0.877 0.877 0.710 1
F17 0.949 0.730 0.059 1
F18 0.990 0.389 0.637 1
```

energy = -3.766 eV per atom
space group = C2/m (12)

=====

9.
# AgPdF6

A geometry-optimized AgPdF6 structure (PBE-GGA, Alexandria).

```
data_AgPdF6
_cell_length_a 5.145
_cell_length_b 5.193
_cell_length_c 10.200
_cell_angle_alpha 76.33
_cell_angle_beta 77.00
_cell_angle_gamma 61.16
_symmetry_space_group_name_H-M 'P 1'
_symmetry_Int_Tables_number 1
_symmetry_space_group_name_Hall 'P 1'
loop_
_atom_site_label
_atom_site_fract_x
_atom_site_fract_y
_atom_site_fract_z
_atom_site_occupancy
Ag1 0.000 0.000 0.000 1
Ag2 0.500 0.500 0.500 1
Pd1 0.207 0.281 0.250 1
Pd2 0.793 0.719 0.750 1
F1 0.064 0.685 0.868 1
F2 0.133 0.449 0.633 1
F3 0.172 0.942 0.364 1
F4 0.258 0.624 0.136 1
F5 0.460 0.973 0.866 1
F6 0.484 0.236 0.368 1
F7 0.516 0.764 0.632 1
F8 0.540 0.027 0.134 1
F9 0.742 0.376 0.864 1
F10 0.828 0.058 0.636 1
F11 0.867 0.551 0.367 1
F12 0.936 0.315 0.132 1
```

energy above the lowest structure with this stoichiometry = 0 meV/atom
energy = -3.622 eV per atom
space group = P-1 (2)

=====

Raw formation energy? In order: -0.6536 -1.1706 -1.0492 -0.4773 -1.0631 -0.9232 -1.0784 -1.0426 -1.2134 eV per atom.
Mass density? In order: 7.0 5.5 5.8 9.3 5.6 6.1 5.6 5.2 4.7 g cm⁻³.